No. 1
An optimized crystal structure of Na2HCl. Source: the Alexandria database, functional PBE.

Output
* final energy: -2.768 eV/atom
* total magnetization: 0.000 μB/cell

Unit cell a=4.664 b=4.664 c=4.664 alpha=60.00 beta=60.00 gamma=60.00
Atoms (fractional coordinates):
1 H 0.000 0.000 0.000
2 Na 0.750 0.750 0.750
3 Na 0.250 0.250 0.250
4 Cl 0.500 0.500 0.500

=====

No. 2
An optimized crystal structure of Na5H4Cl. Source: the Alexandria database, functional PBE.

Output
* final energy: -2.681 eV/atom
* total magnetization: 0.000 μB/cell

Unit cell a=3.559 b=3.559 c=14.643 alpha=83.02 beta=83.02 gamma=60.00
Atoms (fractional coordinates):
1 Na 0.396 0.396 0.812
2 Na 0.000 0.000 0.000
3 Na 0.792 0.792 0.623
4 Na 0.208 0.208 0.377
5 Na 0.604 0.604 0.188
6 H 0.906 0.906 0.282
7 H 0.302 0.302 0.094
8 H 0.698 0.698 0.906
9 H 0.094 0.094 0.718
10 Cl 0.500 0.500 0.500

=====

No. 3
An optimized crystal structure of Na2H2Cl. Source: the Alexandria database, functional PBE.

Output
* final energy: -2.604 eV/atom
* total magnetization: 0.000 μB/cell

Unit cell a=3.432 b=3.432 c=6.894 alpha=75.58 beta=75.58 gamma=90.00
Atoms (fractional coordinates):
1 Na 0.628 0.628 0.744
2 Na 0.372 0.372 0.256
3 H 0.250 0.750 0.500
4 H 0.750 0.250 0.500
5 Cl 0.000 0.000 0.000

=====

No. 4
An optimized crystal structure of NaHCl2. Source: the Alexandria database, functional PBE.

Output
* final energy: -2.806 eV/atom
* total magnetization: 0.000 μB/cell

Unit cell a=5.840 b=5.840 c=6.000 alpha=60.88 beta=60.88 gamma=90.00
Atoms (fractional coordinates):
1 H 0.250 0.750 0.500
2 H 0.500 0.500 0.000
3 Cl 0.224 0.625 0.250
4 Cl 0.875 0.776 0.750
5 Cl 0.526 0.125 0.250
6 Cl 0.375 0.474 0.750
7 Na 0.750 0.250 0.500
8 Na 0.000 0.000 0.000